# 1
Here is a geometry-optimized Cd2PtRh structure from the Alexandria database. Energies are from PBE.

calculated volume = 17.295 Å³/atom
total magnetization = 0.0 μB/cell
energy relative to the elements = -112 meV per atom

Unit cell a=4.105 b=4.105 c=8.209 alpha=90.00 beta=90.00 gamma=90.00
Space group I-4m2 (No. 119)
Unique sites:
Cd (0.000, 0.000, 0.000)
Cd (0.000, 0.500, 0.250)
Pt (0.000, 0.500, 0.750)
Rh (0.000, 0.000, 0.500)

=====

# 2
Here is a geometry-optimized CdPtRh structure from the Alexandria database. Energies are from PBE.

calculated volume = 16.442 Å³/atom
total magnetization = 0.0 μB/cell
energy relative to the elements = -44 meV per atom
E above lowest polymorph = 0.041 eV/atom

Unit cell a=2.829 b=4.037 c=8.638 alpha=90.00 beta=90.00 gamma=90.00
Space group Imm2 (No. 44)
Unique sites:
Cd (0.000, 0.000, 0.000)
Pt (0.000, 0.000, 0.328)
Rh (0.000, 0.000, 0.671)

=====

# 3
Here is a geometry-optimized Cd5PtRh structure from the Alexandria database. Energies are from PBE.

calculated volume = 28.875 Å³/atom
total magnetization = 0.0 μB/cell
energy relative to the elements = 82 meV per atom

Unit cell a=11.210 b=8.402 c=9.150 alpha=90.00 beta=110.27 gamma=90.00
Space group C2/c (No. 15)
Unique sites:
Cd (0.000, 0.139, 0.250)
Cd (0.004, 0.315, 0.543)
Cd (0.248, 0.011, 0.633)
Pt (0.000, 0.460, 0.250)
Rh (0.000, 0.000, 0.000)

=====

# 4
Here is a geometry-optimized Cd2PtRh structure from the Alexandria database. Energies are from PBE.

calculated volume = 17.204 Å³/atom
total magnetization = 0.0 μB/cell
energy relative to the elements = -105 meV per atom

Unit cell a=4.896 b=2.935 c=5.119 alpha=90.00 beta=110.72 gamma=90.00
Space group P2/m (No. 10)
Unique sites:
Cd (0.000, 0.000, 0.000)
Cd (0.000, 0.500, 0.500)
Pt (0.500, 0.000, 0.500)
Rh (0.500, 0.500, 0.000)

=====

# 5
Here is a geometry-optimized Cd2PtRh structure from the Alexandria database. Energies are from PBE.

calculated volume = 17.201 Å³/atom
total magnetization = 0.0 μB/cell
energy relative to the elements = -193 meV per atom

Unit cell a=3.277 b=3.277 c=6.405 alpha=90.00 beta=90.00 gamma=90.00
Space group P4/mmm (No. 123)
Unique sites:
Cd (0.000, 0.000, 0.245)
Pt (0.500, 0.500, 0.500)
Rh (0.500, 0.500, 0.000)

=====

# 6
Here is a geometry-optimized CdPtRh structure from the Alexandria database. Energies are from PBE.

calculated volume = 16.354 Å³/atom
total magnetization = 0.3 μB/cell
energy relative to the elements = -23 meV per atom
E above lowest polymorph = 0.062 eV/atom

Unit cell a=2.8659 b=2.8659 c=6.8977 alpha=90.00 beta=90.00 gamma=120.00
Space group P3m1 (No. 156)
Unique sites:
Cd (0.0000, 0.0000, 0.0000)
Pt (0.6667, 0.3333, 0.3448)
Rh (0.3333, 0.6667, 0.6656)

=====

# 7
Here is a geometry-optimized CdPtRh2 structure from the Alexandria database. Energies are from PBE.

calculated volume = 15.891 Å³/atom
total magnetization = 0.0 μB/cell
energy relative to the elements = -2 meV per atom

Unit cell a=2.829 b=3.863 c=5.817 alpha=90.00 beta=90.00 gamma=90.00
Space group Pmmm (No. 47)
Unique sites:
Cd (0.000, 0.000, 0.000)
Pt (0.000, 0.000, 0.500)
Rh (0.500, 0.500, 0.267)

=====

# 8
Here is a geometry-optimized CdPt2Rh structure from the Alexandria database. Energies are from PBE.

calculated volume = 16.133 Å³/atom
total magnetization = 0.0 μB/cell
energy relative to the elements = -110 meV per atom

Unit cell a=3.966 b=3.966 c=4.103 alpha=90.00 beta=90.00 gamma=90.00
Space group P4/mmm (No. 123)
Unique sites:
Cd (0.000, 0.000, 0.000)
Pt (0.000, 0.500, 0.500)
Rh (0.500, 0.500, 0.000)